No. 1
Computed, not measured: a geometry-optimized Os2PbSe structure at the PBE-GGA level of DFT.

```
Os2PbSe
1.0
4.212 -1.523 0.000
4.212 1.523 0.000
-1.226 0.000 5.668
Os Pb Se
2 1 1
direct
0.247 0.247 0.191 Os
0.753 0.753 0.809 Os
0.000 0.000 0.500 Pb
0.500 0.500 0.000 Se
```

uncorrected energy	-6.592	eV/atom
uncorrected formation energy	0.821	eV per atom
space-group type	No. 12
ρ	15.22	g/cm³

=====

No. 2
Computed, not measured: a geometry-optimized Os3PbSe structure at the PBE-GGA level of DFT.

```
Os3PbSe
1.0
4.631 0.000 0.000
0.000 4.631 0.000
0.000 0.000 4.631
Os Pb Se
3 1 1
direct
0.000 0.000 0.500 Os
0.000 0.500 0.000 Os
0.500 0.000 0.000 Os
0.500 0.500 0.500 Pb
0.000 0.000 0.000 Se
```

uncorrected energy	-6.495	eV/atom
uncorrected formation energy	1.682	eV per atom
space-group type	No. 221
ρ	14.33	g/cm³

=====

No. 3
Computed, not measured: a geometry-optimized Os2PbSe structure at the PBE-GGA level of DFT.

```
Os2PbSe
1.0
1.494 -2.691 0.000
1.494 2.691 0.000
0.000 0.000 9.125
Os Pb Se
2 1 1
direct
0.000 0.000 0.219 Os
0.000 0.000 0.781 Os
0.500 0.500 0.500 Pb
0.500 0.500 0.000 Se
```

uncorrected energy	-6.191	eV/atom
uncorrected formation energy	1.222	eV per atom
space-group type	No. 65
ρ	15.08	g/cm³

=====

No. 4
Computed, not measured: a geometry-optimized Os2PbSe structure at the PBE-GGA level of DFT.

```
Os2PbSe
1.0
0.000 3.264 3.264
3.264 0.000 3.264
3.264 3.264 0.000
Os Pb Se
2 1 1
direct
0.250 0.250 0.250 Os
0.750 0.750 0.750 Os
0.000 0.000 0.000 Pb
0.500 0.500 0.500 Se
```

uncorrected energy	-6.307	eV/atom
uncorrected formation energy	1.106	eV per atom
space-group type	No. 225
ρ	15.91	g/cm³

=====

No. 5
Computed, not measured: a geometry-optimized OsPbSe structure at the PBE-GGA level of DFT.

```
OsPbSe
1.0
4.483 0.000 0.000
-2.241 3.882 0.000
0.000 0.000 3.500
Os Pb Se
1 1 1
direct
0.000 0.000 0.000 Os
0.667 0.333 0.500 Pb
0.333 0.667 0.000 Se
```

uncorrected energy	-5.498	eV/atom
uncorrected formation energy	0.643	eV per atom
space-group type	No. 187
ρ	12.99	g/cm³

=====

No. 6
Computed, not measured: a geometry-optimized Os2PbSe structure at the PBE-GGA level of DFT.

```
Os2PbSe
1.0
4.989 -1.470 0.000
4.989 1.470 0.000
-2.607 0.000 6.236
Os Pb Se
2 1 1
direct
0.000 0.000 0.000 Os
0.711 0.711 0.997 Os
0.443 0.443 0.343 Pb
0.296 0.296 0.765 Se
```

uncorrected energy	-6.852	eV/atom
uncorrected formation energy	0.561	eV per atom
space-group type	No. 8
ρ	12.11	g/cm³

=====

No. 7
Computed, not measured: a geometry-optimized Os2PbSe structure at the PBE-GGA level of DFT.

```
Os2PbSe
1.0
3.027 0.000 0.000
0.000 4.230 0.000
-0.460 0.000 5.939
Os Pb Se
2 1 1
direct
0.208 0.000 0.313 Os
0.792 0.000 0.687 Os
0.500 0.500 0.000 Pb
0.000 0.500 0.500 Se
```

uncorrected energy	-6.348	eV/atom
uncorrected formation energy	1.065	eV per atom
space-group type	No. 10
ρ	14.56	g/cm³

=====

No. 8
Computed, not measured: a geometry-optimized Os2PbSe structure at the PBE-GGA level of DFT.

```
Os2PbSe
1.0
1.541 0.890 8.497
-1.541 0.890 8.497
0.000 -1.779 8.497
Os Pb Se
2 1 1
direct
0.241 0.241 0.241 Os
0.759 0.759 0.759 Os
0.000 0.000 0.000 Pb
0.500 0.500 0.500 Se
```

uncorrected energy	-6.512	eV/atom
uncorrected formation energy	0.901	eV per atom
space-group type	No. 166
ρ	15.84	g/cm³

=====

No. 9
Computed, not measured: a geometry-optimized OsPbSe structure at the PBE-GGA level of DFT.

```
OsPbSe
1.0
-1.552 1.552 6.925
1.552 -1.552 6.925
1.552 1.552 -6.925
Os Pb Se
1 1 1
direct
0.000 0.000 0.000 Os
0.663 0.663 0.000 Pb
0.406 0.406 0.000 Se
```

uncorrected energy	-5.774	eV/atom
uncorrected formation energy	0.367	eV per atom
space-group type	No. 107
ρ	11.86	g/cm³

=====

No. 10
Computed, not measured: a geometry-optimized Os2PbSe structure at the PBE-GGA level of DFT.

```
Os2PbSe
1.0
2.914 0.000 0.000
0.000 3.823 0.000
0.000 0.000 7.552
Os Pb Se
2 1 1
direct
0.000 0.000 0.000 Os
0.500 0.500 0.148 Os
0.000 0.000 0.403 Pb
0.500 0.500 0.817 Se
```

uncorrected energy	-6.845	eV/atom
uncorrected formation energy	0.568	eV per atom
space-group type	No. 25
ρ	13.15	g/cm³

=====

No. 11
Computed, not measured: a geometry-optimized Os2PbSe structure at the PBE-GGA level of DFT.

```
Os2PbSe
1.0
2.999 0.000 0.000
0.000 4.601 0.000
0.000 0.000 5.210
Os Pb Se
2 1 1
direct
0.000 0.000 0.000 Os
0.500 0.000 0.500 Os
0.000 0.500 0.500 Pb
0.500 0.500 0.000 Se
```

uncorrected energy	-6.267	eV/atom
uncorrected formation energy	1.146	eV per atom
space-group type	No. 47
ρ	15.40	g/cm³

=====

No. 12
Computed, not measured: a geometry-optimized Os2PbSe structure at the PBE-GGA level of DFT.

```
Os2PbSe
1.0
-2.995 2.995 5.398
2.995 -2.995 5.398
2.995 2.995 -5.398
Os Pb Se
4 2 2
direct
0.076 0.625 0.951 Os
0.375 0.326 0.451 Os
0.674 0.125 0.049 Os
0.875 0.924 0.549 Os
0.250 0.750 0.500 Pb
0.500 0.500 0.000 Pb
0.000 0.000 0.000 Se
0.750 0.250 0.500 Se
```

uncorrected energy	-6.232	eV/atom
uncorrected formation energy	1.181	eV per atom
space-group type	No. 122
ρ	11.43	g/cm³

=====

No. 13
Computed, not measured: a geometry-optimized Os2PbSe structure at the PBE-GGA level of DFT.

```
Os2PbSe
1.0
2.950 -4.725 0.000
2.950 4.725 0.000
-1.539 0.000 2.597
Os Pb Se
2 1 1
direct
0.000 0.500 0.000 Os
0.500 0.000 0.000 Os
0.000 0.000 0.500 Pb
0.500 0.500 0.500 Se
```

uncorrected energy	-6.191	eV/atom
uncorrected formation energy	1.222	eV per atom
space-group type	No. 12
ρ	15.29	g/cm³

=====

No. 14
Computed, not measured: a geometry-optimized Tc2OsPbSe structure at the PBE-GGA level of DFT.

```
Tc2OsPbSe
1.0
4.787 0.000 0.000
0.000 4.787 0.000
0.000 0.000 5.330
Tc Os Pb Se
2 1 1 1
direct
0.000 0.500 0.000 Tc
0.500 0.000 0.000 Tc
0.000 0.000 0.000 Os
0.000 0.000 0.500 Pb
0.500 0.500 0.500 Se
```

uncorrected energy	-6.411	eV/atom
uncorrected formation energy	1.420	eV per atom
space-group type	No. 123
ρ	9.14	g/cm³

=====

No. 15
Computed, not measured: a geometry-optimized Th4OsPbSe2 structure at the PBE-GGA level of DFT.

```
Th4OsPbSe2
1.0
7.509 0.000 0.000
0.000 4.238 0.000
-2.501 0.000 7.306
Th Os Pb Se
4 1 1 2
direct
0.221 0.000 0.215 Th
0.247 0.500 0.777 Th
0.753 0.500 0.223 Th
0.779 0.000 0.785 Th
0.000 0.500 0.000 Os
0.000 0.000 0.500 Pb
0.500 0.000 0.000 Se
0.500 0.500 0.500 Se
```

uncorrected energy	-7.344	eV/atom
uncorrected formation energy	-0.896	eV per atom
space-group type	No. 10
ρ	10.60	g/cm³